Record 1
Material: Ba2SmErS4
Method: DFT, PBE
State: relaxed

Lattice parameters (Å, degrees): 7.1669 4.1432 7.5263 90.00 108.54 90.00
Positions (direct):
Ba 0.0000 0.0000 0.0000
Ba 0.5000 0.5000 0.0000
Sm 0.0000 0.5000 0.5000
Er 0.5000 0.0000 0.5000
S 0.2447 0.0000 0.7124
S 0.2702 0.5000 0.2913
S 0.7298 0.5000 0.7087
S 0.7553 0.0000 0.2876

Output
DFT total energy = -5.71 eV/atom
crystal system = monoclinic

***

Record 2
Material: Ba2ErSnS5
Method: DFT, PBE
State: relaxed

Lattice parameters (Å, degrees): 9.2503 9.2503 12.8620 90.00 90.00 152.84
Positions (direct):
Ba 0.1141 0.8859 0.5000
Ba 0.1346 0.8654 0.1294
Ba 0.8654 0.1346 0.6294
Ba 0.8859 0.1141 0.0000
Er 0.2129 0.7871 0.8390
Er 0.7871 0.2129 0.3390
Sn 0.4525 0.5475 0.2710
Sn 0.5475 0.4525 0.7710
S 0.0551 0.9449 0.8722
S 0.2876 0.7124 0.4724
S 0.3156 0.6844 0.1984
S 0.3575 0.6425 0.8188
S 0.4959 0.5041 0.5923
S 0.5041 0.4959 0.0923
S 0.6425 0.3575 0.3188
S 0.6844 0.3156 0.6984
S 0.7124 0.2876 0.9724
S 0.9449 0.0551 0.3722

Output
DFT total energy = -5.28 eV/atom
crystal system = orthorhombic

***

Record 3
Material: Ba2SrErS4
Method: DFT, PBE
State: relaxed

Lattice parameters (Å, degrees): 7.3887 4.2389 7.5412 90.00 108.78 90.00
Positions (direct):
Ba 0.0000 0.0000 0.0000
Ba 0.5000 0.5000 0.0000
Sr 0.0000 0.5000 0.5000
Er 0.5000 0.0000 0.5000
S 0.2581 0.0000 0.7197
S 0.2772 0.5000 0.2874
S 0.7228 0.5000 0.7126
S 0.7419 0.0000 0.2803

Output
DFT total energy = -5.35 eV/atom
crystal system = monoclinic

***

Record 4
Material: Ba2ErTaS6
Method: DFT, PBE
State: relaxed

Lattice parameters (Å, degrees): 13.0762 13.0762 13.0762 31.19 31.19 31.19
Positions (direct):
Ba 0.1347 0.1347 0.1347
Ba 0.3003 0.3003 0.3003
Ba 0.6997 0.6997 0.6997
Ba 0.8653 0.8653 0.8653
Er 0.4136 0.4136 0.4136
Er 0.5864 0.5864 0.5864
Ta 0.0000 0.0000 0.0000
Ta 0.5000 0.5000 0.5000
S 0.1306 0.6265 0.6265
S 0.2000 0.2000 0.7142
S 0.2000 0.7142 0.2000
S 0.2858 0.8000 0.8000
S 0.3735 0.3735 0.8694
S 0.3735 0.8694 0.3735
S 0.6265 0.1306 0.6265
S 0.6265 0.6265 0.1306
S 0.7142 0.2000 0.2000
S 0.8000 0.2858 0.8000
S 0.8000 0.8000 0.2858
S 0.8694 0.3735 0.3735

Output
DFT total energy = -6.18 eV/atom
crystal system = trigonal

***

Record 5
Material: BaTb4ErS8
Method: DFT, PBE
State: relaxed

Lattice parameters (Å, degrees): 8.2380 8.2380 8.2380 60.24 60.24 60.24
Positions (direct):
Ba 0.0000 0.0000 0.0000
Tb 0.1190 0.6261 0.6261
Tb 0.2492 0.2492 0.2492
Tb 0.6261 0.1190 0.6261
Tb 0.6261 0.6261 0.1190
Er 0.6262 0.6262 0.6262
S 0.3814 0.3814 0.3814
S 0.3837 0.3837 0.8515
S 0.3837 0.8515 0.3837
S 0.4287 0.8543 0.8543
S 0.8515 0.3837 0.3837
S 0.8543 0.4287 0.8543
S 0.8543 0.8543 0.4287
S 0.8567 0.8567 0.8567

Output
DFT total energy = -6.11 eV/atom
crystal system = trigonal

***

Record 6
Material: Ba2TbErS4
Method: DFT, PBE
State: relaxed

Lattice parameters (Å, degrees): 7.1029 4.1128 7.5209 90.00 108.45 90.00
Positions (direct):
Ba 0.0000 0.0000 0.0000
Ba 0.5000 0.5000 0.0000
Tb 0.0000 0.5000 0.5000
Er 0.5000 0.0000 0.5000
S 0.2393 0.0000 0.7085
S 0.2671 0.5000 0.2930
S 0.7329 0.5000 0.7070
S 0.7607 0.0000 0.2915

Output
DFT total energy = -5.70 eV/atom
crystal system = monoclinic

***

Record 7
Material: Ba2ErThS6
Method: DFT, PBE
State: relaxed

Lattice parameters (Å, degrees): 7.2819 7.6348 12.7073 90.00 124.30 90.00
Positions (direct):
Ba 0.2271 0.0656 0.2493
Ba 0.2271 0.4344 0.7493
Ba 0.7729 0.5656 0.2507
Ba 0.7729 0.9344 0.7507
Er 0.0000 0.0000 0.5000
Er 0.0000 0.5000 0.0000
Th 0.5000 0.0000 0.0000
Th 0.5000 0.5000 0.5000
S 0.1497 0.2070 0.9517
S 0.1497 0.2930 0.4517
S 0.2461 0.7037 0.9513
S 0.2461 0.7963 0.4513
S 0.3389 0.0252 0.7462
S 0.3389 0.4748 0.2462
S 0.6611 0.5252 0.7538
S 0.6611 0.9748 0.2538
S 0.7539 0.2037 0.5487
S 0.7539 0.2963 0.0487
S 0.8503 0.7070 0.5483
S 0.8503 0.7930 0.0483

Output
DFT total energy = -5.94 eV/atom
crystal system = monoclinic

***

Record 8
Material: Ba2ErTmS4
Method: DFT, PBE
State: relaxed

Lattice parameters (Å, degrees): 7.0419 4.0784 7.5188 90.00 108.31 90.00
Positions (direct):
Ba 0.0000 0.0000 0.0000
Ba 0.5000 0.5000 0.0000
Er 0.0000 0.5000 0.5000
Tm 0.5000 0.0000 0.5000
S 0.2362 0.0000 0.7049
S 0.2662 0.5000 0.2957
S 0.7338 0.5000 0.7043
S 0.7638 0.0000 0.2951

Output
DFT total energy = -5.66 eV/atom
crystal system = monoclinic

***

Record 9
Material: BaEr4TmS8
Method: DFT, PBE
State: relaxed

Lattice parameters (Å, degrees): 8.1648 8.1648 8.1648 60.06 60.06 60.06
Positions (direct):
Ba 0.0000 0.0000 0.0000
Er 0.1195 0.6267 0.6267
Er 0.2498 0.2498 0.2498
Er 0.6267 0.1195 0.6267
Er 0.6267 0.6267 0.1195
Tm 0.6269 0.6269 0.6269
S 0.3820 0.3820 0.3820
S 0.3830 0.3830 0.8530
S 0.3830 0.8530 0.3830
S 0.4306 0.8558 0.8558
S 0.8530 0.3830 0.3830
S 0.8558 0.4306 0.8558
S 0.8558 0.8558 0.4306
S 0.8564 0.8564 0.8564

Output
DFT total energy = -6.07 eV/atom
crystal system = trigonal

***

Record 10
Material: BaEr2US8
Method: DFT, PBE
State: relaxed

Lattice parameters (Å, degrees): 5.9987 6.3700 8.9347 89.91 89.80 89.44
Positions (direct):
Ba 0.0000 0.0000 0.0000
Er 0.4987 0.4997 0.2897
Er 0.5013 0.5003 0.7103
U 0.0000 0.0000 0.5000
S 0.2392 0.8483 0.7075
S 0.2418 0.8512 0.2918
S 0.2501 0.3357 0.5014
S 0.3284 0.4574 0.0003
S 0.6716 0.5426 0.9997
S 0.7499 0.6643 0.4986
S 0.7582 0.1488 0.7082
S 0.7608 0.1517 0.2925

Output
DFT total energy = -6.05 eV/atom
crystal system = triclinic

***

Record 11
Material: Ba2YErS5
Method: DFT, PBE
State: relaxed

Lattice parameters (Å, degrees): 8.9151 8.9151 13.6270 90.00 90.00 152.37
Positions (direct):
Ba 0.1032 0.8968 0.5000
Ba 0.1432 0.8568 0.1159
Ba 0.8568 0.1432 0.6159
Ba 0.8968 0.1032 0.0000
Y 0.4687 0.5313 0.2749
Y 0.5313 0.4687 0.7749
Er 0.2173 0.7827 0.8368
Er 0.7827 0.2173 0.3368
S 0.0612 0.9388 0.8788
S 0.2781 0.7219 0.4676
S 0.3158 0.6842 0.2093
S 0.3725 0.6275 0.8146
S 0.4915 0.5085 0.5916
S 0.5085 0.4915 0.0916
S 0.6275 0.3725 0.3146
S 0.6842 0.3158 0.7093
S 0.7219 0.2781 0.9676
S 0.9388 0.0612 0.3787

Output
DFT total energy = -6.02 eV/atom
crystal system = orthorhombic

***

Record 12
Material: Ba2ErZrS6
Method: DFT, PBE
State: relaxed

Lattice parameters (Å, degrees): 7.2705 10.2829 7.2753 90.00 90.00 90.00
Positions (direct):
Ba 0.2500 0.0005 0.2500
Ba 0.2500 0.4995 0.2500
Ba 0.7500 0.5005 0.7500
Ba 0.7500 0.9995 0.7500
Er 0.2500 0.2500 0.7494
Er 0.7500 0.7500 0.2506
Zr 0.2500 0.7500 0.7507
Zr 0.7500 0.2500 0.2493
S 0.0041 0.7500 0.5058
S 0.0049 0.7500 0.9964
S 0.2500 0.5046 0.7503
S 0.2500 0.9954 0.7503
S 0.4951 0.7500 0.9964
S 0.4959 0.7500 0.5058
S 0.5041 0.2500 0.4942
S 0.5049 0.2500 0.0036
S 0.7500 0.0046 0.2497
S 0.7500 0.4954 0.2497
S 0.9951 0.2500 0.0036
S 0.9959 0.2500 0.4942

Output
DFT total energy = -5.92 eV/atom
crystal system = orthorhombic

***

Record 13
Material: BaErSb
Method: DFT, PBE
State: relaxed

Lattice parameters (Å, degrees): 4.8806 4.8806 9.6713 104.58 104.58 90.01
Positions (direct):
Ba 0.1753 0.1753 0.3513
Ba 0.8247 0.8247 0.6487
Er 0.0000 0.5000 0.0000
Er 0.5000 0.0000 0.0000
Sb 0.3837 0.3837 0.7666
Sb 0.6163 0.6163 0.2334

Output
DFT total energy = -4.34 eV/atom
crystal system = monoclinic

***

Record 14
Material: Ba5ErSb4
Method: DFT, PBE
State: relaxed

Lattice parameters (Å, degrees): 11.4898 11.4898 9.1002 113.01 113.01 24.64
Positions (direct):
Ba 0.0000 0.0000 0.0000
Ba 0.3354 0.3354 0.5847
Ba 0.3357 0.3357 0.0849
Ba 0.6643 0.6643 0.9151
Ba 0.6646 0.6646 0.4153
Er 0.0000 0.0000 0.5000
Sb 0.1926 0.1926 0.6932
Sb 0.5001 0.5001 0.2776
Sb 0.4999 0.4999 0.7224
Sb 0.8074 0.8074 0.3068

Output
DFT total energy = -3.91 eV/atom
crystal system = monoclinic

***

Record 15
Material: Ba2ErSb2
Method: DFT, PBE
State: relaxed

Lattice parameters (Å, degrees): 8.9307 8.9307 8.9307 126.17 74.40 132.75
Positions (direct):
Ba 0.1463 0.1633 0.3096
Ba 0.3537 0.6633 0.0170
Ba 0.6463 0.3367 0.9830
Ba 0.8537 0.8367 0.6904
Er 0.2500 0.7500 0.5000
Er 0.7500 0.2500 0.5000
Sb 0.1100 0.7304 0.8403
Sb 0.3900 0.2304 0.6204
Sb 0.6100 0.7696 0.3796
Sb 0.8900 0.2696 0.1597

Output
DFT total energy = -4.25 eV/atom
crystal system = orthorhombic

***

Record 16
Material: Ba3ErTh2Sb6
Method: DFT, PBE
State: relaxed

Lattice parameters (Å, degrees): 8.0635 8.0635 8.4326 99.18 99.18 120.06
Positions (direct):
Ba 0.0000 0.0000 0.0000
Ba 0.3323 0.6677 0.0000
Ba 0.6677 0.3323 0.0000
Er 0.5000 0.5000 0.5000
Th 0.1663 0.8337 0.5000
Th 0.8337 0.1663 0.5000
Sb 0.0993 0.4289 0.2858
Sb 0.2425 0.2425 0.7154
Sb 0.4289 0.0993 0.2858
Sb 0.5711 0.9007 0.7142
Sb 0.7575 0.7575 0.2846
Sb 0.9007 0.5711 0.7142

Output
DFT total energy = -5.14 eV/atom
crystal system = monoclinic

***

Record 17
Material: Ba2ErThSb4
Method: DFT, PBE
State: relaxed

Lattice parameters (Å, degrees): 7.9924 4.6679 8.4146 90.00 108.81 90.00
Positions (direct):
Ba 0.0000 0.0000 0.0000
Ba 0.5000 0.5000 0.0000
Er 0.0000 0.5000 0.5000
Th 0.5000 0.0000 0.5000
Sb 0.2321 0.0000 0.7109
Sb 0.2575 0.5000 0.2853
Sb 0.7425 0.5000 0.7147
Sb 0.7679 0.0000 0.2891

Output
DFT total energy = -5.00 eV/atom
crystal system = monoclinic

***

Record 18
Material: BaErSe
Method: DFT, PBE
State: relaxed

Lattice parameters (Å, degrees): 14.4064 4.1557 4.1557 60.13 90.00 90.00
Positions (direct):
Ba 0.1492 0.0000 0.0000
Ba 0.8508 0.0000 0.0000
Er 0.3807 0.6636 0.6636
Er 0.6193 0.6636 0.6636
Se 0.0000 0.6663 0.6663
Se 0.5000 0.9972 0.9972

Output
DFT total energy = -4.22 eV/atom
crystal system = orthorhombic

***

Record 19
Material: BaEr2Se4
Method: DFT, PBE
State: relaxed

Lattice parameters (Å, degrees): 7.1356 7.1356 14.2192 90.00 90.00 145.84
Positions (direct):
Ba 0.1099 0.8901 0.7500
Ba 0.8901 0.1099 0.2500
Er 0.3651 0.6348 0.5664
Er 0.3651 0.6348 0.9336
Er 0.6348 0.3651 0.0664
Er 0.6348 0.3651 0.4336
Se 0.0000 0.0000 0.0000
Se 0.0000 0.0000 0.5000
Se 0.2672 0.7328 0.1107
Se 0.2672 0.7328 0.3893
Se 0.4324 0.5676 0.7500
Se 0.5676 0.4324 0.2500
Se 0.7328 0.2672 0.6107
Se 0.7328 0.2672 0.8893

Output
DFT total energy = -5.52 eV/atom
energy above the most stable polymorph in this dataset = 28 meV per atom
crystal system = orthorhombic

***

Record 20
Material: BaEr6Se8
Method: DFT, PBE
State: relaxed

Lattice parameters (Å, degrees): 7.7996 7.7996 7.7996 91.56 91.56 91.56
Positions (direct):
Ba 0.0000 0.0000 0.0000
Er 0.1954 0.4008 0.5686
Er 0.4008 0.5686 0.1954
Er 0.4314 0.8046 0.5992
Er 0.5686 0.1954 0.4008
Er 0.5992 0.4314 0.8046
Er 0.8046 0.5992 0.4314
Se 0.1369 0.7205 0.3826
Se 0.2475 0.2475 0.2475
Se 0.2795 0.6174 0.8631
Se 0.3826 0.1369 0.7205
Se 0.6174 0.8631 0.2795
Se 0.7205 0.3826 0.1369
Se 0.7525 0.7525 0.7525
Se 0.8631 0.2795 0.6174

Output
DFT total energy = -5.46 eV/atom
crystal system = trigonal

***

Spin magnetization readings, ordered: 0.0; 0.0; 0.0; 0.0; 0.0; 0.0; 0.0; 0.0; 0.0; 0.0; 0.0; 0.0; 0.8; 1.0; 0.5; 0.0; 0.0; 0.2; 0.0; 1.7 μB/f.u.
Formation energy from raw total energies readings, ordered: -2003.5; -1609.3; -2025.4; -1673.8; -1969.3; -2003.4; -1880.5; -1988.2; -1954.3; -1440.9; -2071.2; -1744.9; -808.2; -848.1; -916.2; -983.2; -965.0; -893.8; -1947.2; -1649.4 meV per atom